VASP calculation (PBE-GGA) on a geometry-optimized CsNa6In6 structure.

## Properties
DOS(E_F) (states/eV/atom): 0.395
Final energy (eV/atom): -2.04
Formation energy from the elements (meV/atom): -100.8

a b c (Å): 8.557 8.557 8.557
angles (deg): 135.46 99.88 96.64
Fractional coordinates of all 13 atoms:
Cs 0.000 0.000 0.000
Na 0.197 0.500 0.697
Na 0.339 0.339 0.000
Na 0.349 0.000 0.349
Na 0.651 0.000 0.651
Na 0.661 0.661 0.000
Na 0.803 0.500 0.303
In 0.000 0.000 0.500
In 0.000 0.500 0.000
In 0.238 0.738 0.500
In 0.500 0.000 0.000
In 0.500 0.500 0.500
In 0.762 0.262 0.500